1.
Density functional theory data (PBE with a Hubbard U) for a geometry-optimized RbHoCoO3 structure.

Geometry as POSCAR:
```
RbHoCoO3
1.0
3.542 0.000 0.000
0.000 7.740 -0.382
0.000 -2.409 8.358
O Co Ho Rb
6 2 2 2
Cartesian
2.657 3.322 0.875
0.886 -0.963 7.068
2.657 -0.109 4.730
0.886 5.439 3.245
0.886 2.009 7.100
2.657 6.293 0.908
2.657 6.308 2.831
0.886 -0.978 5.144
2.657 0.556 7.042
0.886 4.774 0.934
2.657 4.244 6.358
0.886 1.087 1.617
```

Results
symmetry: P2_1/m, No. 11
Fermi-level density of states: 0.0 states/eV/f.u.
mass density: 5.3 g cm⁻³
DFT total energy: -6.359 eV per atom

***

2.
Density functional theory data (PBE with a Hubbard U) for a geometry-optimized Ho2CoSbO6 structure.

Geometry as POSCAR:
```
Ho2CoSbO6
1.0
5.618 -0.010 0.007
2.800 4.865 -0.007
2.812 1.608 4.881
Sb Ho O Co
1 2 6 1
Cartesian
2.809 1.617 0.296
2.812 1.605 4.464
5.610 3.237 2.042
3.984 3.357 3.722
4.677 1.355 1.268
7.712 3.368 1.264
4.449 4.987 1.262
6.544 4.579 3.720
6.332 1.753 3.713
8.418 4.840 2.733
```

Results
symmetry: P1, No. 1
Fermi-level density of states: 2.5 states/eV/f.u.
mass density: 7.5 g cm⁻³
DFT total energy: -7.128 eV per atom

***

3.
Density functional theory data (PBE with a Hubbard U) for a geometry-optimized Sr2HoCo2O6 structure.

Geometry as POSCAR:
```
Sr2HoCo2O6
1.0
-2.405 -3.094 -4.503
-4.552 -3.721 1.031
-5.979 1.945 -2.100
Ho O Sr Co
1 6 2 2
Cartesian
0.000 0.000 0.000
-5.571 -2.989 -0.821
-4.451 -2.662 -3.707
-6.825 -4.602 -3.169
-6.112 -0.268 -2.402
-7.366 -1.882 -4.750
-8.485 -2.209 -1.864
-3.721 -0.657 -1.518
-9.215 -4.214 -4.053
-5.769 -3.240 -2.606
-7.167 -1.630 -2.965
```

Results
symmetry: R-3m, No. 166
mass density: 5.3 g cm⁻³
DFT total energy: -6.423 eV per atom

***

4.
Density functional theory data (PBE with a Hubbard U) for a geometry-optimized SrHo2CoO5 structure.

Geometry as POSCAR:
```
SrHo2CoO5
1.0
3.731 0.000 0.000
0.000 5.715 0.000
-1.865 -2.858 5.718
O Co Ho Sr
5 1 2 1
Cartesian
0.000 1.449 4.016
1.865 1.408 1.702
0.000 -1.449 4.016
0.000 0.000 0.000
1.865 4.307 1.702
1.865 0.000 0.000
1.865 2.858 3.399
0.000 0.000 2.318
0.000 2.858 0.000
```

Results
symmetry: Immm, No. 71
mass density: 7.6 g cm⁻³
DFT total energy: -7.317 eV per atom

***

5.
Density functional theory data (PBE with a Hubbard U) for a geometry-optimized HoV2CoO8 structure.

Geometry as POSCAR:
```
HoV2CoO8
1.0
-2.137 5.019 1.696
2.136 -3.643 3.848
5.094 2.367 -0.587
O V Ho Co
8 2 1 1
Cartesian
5.086 -0.595 3.092
2.674 3.706 2.024
3.959 1.327 1.062
0.007 4.339 1.866
3.958 2.053 3.987
2.419 0.038 2.934
1.134 2.417 3.896
1.134 1.691 0.971
3.878 0.716 2.766
1.215 3.028 2.192
0.000 0.000 0.000
2.547 1.184 -0.293
```

Results
symmetry: P-3m1, No. 164
Fermi-level density of states: 0.0 states/eV/f.u.
mass density: 4.7 g cm⁻³
DFT total energy: -7.295 eV per atom

***

6.
Density functional theory data (PBE with a Hubbard U) for a geometry-optimized Ho2VCoO6 structure.

Geometry as POSCAR:
```
Ho2VCoO6
1.0
-2.660 3.980 2.054
-4.033 -3.548 1.650
3.533 -0.975 6.538
Co O Ho V
2 12 4 2
Cartesian
-0.250 -2.261 4.094
-1.330 1.990 1.027
-3.648 1.383 4.374
-2.252 -2.591 7.312
0.266 -0.398 3.621
-1.142 1.124 5.568
-2.019 -1.667 4.675
0.299 0.749 8.082
-3.459 -1.292 2.160
-2.071 -0.594 9.170
0.487 -1.926 5.869
-3.427 -0.145 6.622
-1.090 0.051 1.072
-0.908 2.048 2.931
-0.242 2.905 7.029
-2.115 0.139 3.321
-2.919 -3.448 3.213
-1.045 -0.682 6.921
0.436 1.502 4.296
-2.017 -1.774 0.825
```

Results
symmetry: P2_1/c, No. 14
mass density: 8.1 g cm⁻³
DFT total energy: -7.718 eV per atom